ErTh4Sb6: relaxed, GGA-PBE.

abc: 8.770 8.770 8.770
angles: 89.59 89.59 89.59
Atoms (fractional coordinates):
Er1 0.000 0.000 0.000
Er2 0.500 0.500 0.500
Th1 0.141 0.750 0.359
Th2 0.250 0.250 0.250
Th3 0.250 0.641 0.859
Th4 0.359 0.141 0.750
Th5 0.641 0.859 0.250
Th6 0.750 0.359 0.141
Th7 0.750 0.750 0.750
Th8 0.859 0.250 0.641
Sb1 0.063 0.921 0.673
Sb2 0.079 0.327 0.937
Sb3 0.173 0.421 0.563
Sb4 0.327 0.937 0.079
Sb5 0.421 0.563 0.173
Sb6 0.437 0.827 0.579
Sb7 0.563 0.173 0.421
Sb8 0.579 0.437 0.827
Sb9 0.673 0.063 0.921
Sb10 0.827 0.579 0.437
Sb11 0.921 0.673 0.063
Sb12 0.937 0.079 0.327

Computed properties:
symmetry = R-3c (167)
spin magnetization = 0.00 μB per formula unit
E_form (uncorrected) = -9.04 eV per formula unit